No. 1
TiAgPdAu (PBE-GGA, relaxed); formation enthalpy at 0 K = -0.263 eV/atom; symmetry = No. 216
1.0
4.560 0.000 0.000
2.280 3.949 0.000
2.280 1.316 3.723
Au Ag Ti Pd
1 1 1 1
direct
0.250 0.250 0.250
0.000 0.000 0.000
0.500 0.500 0.500
0.750 0.750 0.750


No. 2
CuTc2Ir (PBE-GGA, relaxed); formation enthalpy at 0 K = 0.175 eV/atom; symmetry = No. 123; energy above the most stable polymorph in this dataset = 133.4 meV/atom
1.0
-1.231 -3.508 -1.407
0.601 -1.559 3.360
-3.517 0.828 1.013
Ir Cu Tc
1 1 2
direct
0.500 0.000 0.500
0.500 0.500 0.000
0.000 0.500 0.500
0.000 0.000 0.000


No. 3
Tl14Te9As2 (PBE-GGA, relaxed); symmetry = No. 147; uncorrected formation energy = -0.16 eV per atom
1.0
-1.773 -7.689 -6.607
9.459 3.960 0.869
2.073 -6.483 6.989
Tl Te As
14 9 2
direct
0.336 0.917 0.652
0.419 0.336 0.348
0.015 0.678 0.002
0.000 0.000 0.676
0.985 0.322 0.998
0.083 0.419 0.652
0.322 0.338 0.002
0.338 0.015 0.998
0.000 0.000 0.324
0.664 0.083 0.348
0.581 0.664 0.652
0.678 0.662 0.998
0.917 0.581 0.348
0.662 0.985 0.002
0.000 0.000 0.000
0.272 0.894 0.316
0.622 0.728 0.316
0.333 0.667 0.938
0.667 0.333 0.062
0.728 0.106 0.684
0.378 0.272 0.684
0.894 0.622 0.684
0.106 0.378 0.316
0.667 0.333 0.778
0.333 0.667 0.222


No. 4
Er4Ir3 (PBE-GGA, relaxed); formation enthalpy at 0 K = -0.869 eV/atom; symmetry = No. 166
1.0
4.570 0.000 1.362
2.082 4.068 1.362
0.014 0.008 8.301
Ir Er
3 4
direct
0.000 0.000 0.000
0.750 0.750 0.750
0.250 0.250 0.250
0.874 0.874 0.377
0.624 0.624 0.129
0.376 0.376 0.871
0.126 0.126 0.623


No. 5
ZnTe2Rh (PBE-GGA, relaxed); symmetry = No. 12; uncorrected formation energy = -0.22 eV per atom
1.0
-3.854 0.252 -1.004
-1.093 -0.335 -3.824
-2.275 -6.512 -0.871
Zn Rh Te
1 1 2
direct
0.750 0.750 0.750
0.250 0.250 0.250
0.989 0.989 0.033
0.511 0.511 0.467


No. 6
SrInCu3Se4 (PBE-GGA, relaxed); symmetry = No. 215; uncorrected formation energy = -0.42 eV per atom
1.0
6.237 0.000 0.000
0.000 6.237 0.000
0.000 0.000 6.237
Cu Se In Sr
3 4 1 1
direct
0.500 0.000 0.000
0.000 0.000 0.500
0.000 0.500 0.000
0.234 0.234 0.234
0.234 0.766 0.766
0.766 0.234 0.766
0.766 0.766 0.234
0.000 0.000 0.000
0.500 0.500 0.500


No. 7
K2AgPb (PBE-GGA, relaxed); formation enthalpy at 0 K = 0.092 eV/atom; symmetry = No. 47
1.0
4.878 0.000 0.000
0.000 4.898 0.000
0.000 0.000 5.589
Ag Pb K
1 1 2
direct
0.000 0.500 0.500
0.500 0.000 0.500
0.500 0.500 0.000
0.000 0.000 0.000


No. 8
Ta2AgF (PBE-GGA, relaxed); symmetry = No. 122; energy above the most stable polymorph in this dataset = 118.4 meV/atom; uncorrected formation energy = 0.36 eV per atom
1.0
3.903 0.000 0.000
0.000 3.903 0.000
1.951 1.951 9.308
Ta Ag F
4 2 2
direct
0.623 0.125 0.250
0.375 0.377 0.750
0.127 0.625 0.250
0.875 0.873 0.750
0.000 0.000 0.000
0.750 0.250 0.500
0.250 0.750 0.500
0.500 0.500 0.000


No. 9
InTcAgH2 (PBE-GGA, relaxed); symmetry = No. 123; energy above the most stable polymorph in this dataset = 339.0 meV/atom
1.0
-2.395 1.670 -2.482
0.223 -3.071 -2.282
-4.498 -2.367 2.747
H Ag In Tc
2 1 1 1
direct
0.000 0.500 0.000
0.500 0.000 0.000
0.500 0.500 0.500
0.000 0.000 0.000
0.000 0.000 0.500


No. 10
LaZnRh2 (PBE-GGA, relaxed); formation enthalpy at 0 K = -0.224 eV/atom; symmetry = No. 65
1.0
3.996 0.019 -0.023
-0.040 5.079 -2.885
0.028 -0.851 4.414
Rh La Zn
2 1 1
direct
0.000 0.789 0.577
0.000 0.211 0.423
0.500 0.500 0.000
0.500 0.000 0.000


No. 11
BiPSO2 (PBE-GGA, relaxed); symmetry = No. 123; uncorrected formation energy = 0.09 eV per atom
1.0
-1.851 3.415 -0.842
-0.883 0.470 3.847
3.931 2.285 0.623
O S Bi P
2 1 1 1
direct
0.500 0.000 0.000
0.000 0.500 0.000
0.000 0.000 0.000
0.500 0.500 0.500
0.000 0.000 0.500


No. 12
KSc2Cu2S4 (PBE-GGA, relaxed); symmetry = No. 12; uncorrected formation energy = -1.12 eV per atom
1.0
-0.905 -3.352 0.528
7.926 -0.781 -3.057
-2.540 1.939 7.958
Sc Cu S K
2 2 4 1
direct
0.890 0.780 0.384
0.110 0.220 0.616
0.317 0.634 0.030
0.683 0.366 0.970
0.759 0.519 0.794
0.494 0.987 0.308
0.241 0.481 0.206
0.506 0.013 0.692
0.000 0.000 0.000


Total energy: -20.3, -33.0, -74.8, -50.9, -15.8, -34.4, -8.4, -54.0, -17.6, -21.8, -22.9, -48.5 (eV/cell)
Magnetization: 0.00, 0.00, 0.00, 0.00, 0.00, 0.00, 0.00, 0.00, 3.03, 0.00, 0.00, 0.73 (Bohr magnetons per cell)
Volume: 16.8, 14.0, 35.8, 22.0, 22.6, 27.0, 33.4, 17.7, 17.0, 19.9, 14.5, 21.4 (Å³ per atom)